No. 1
{"formula": "Pm12Nd5Sn2", "functional": "GGA-PBE", "state": "optimized geometry", "cell": [[9.621, 0.000, 0.000], [-4.810, 7.728, 0.976], [0.000, -1.575, 8.488]], "species": ["Pm", "Pm", "Pm", "Pm", "Pm", "Pm", "Pm", "Pm", "Pm", "Pm", "Pm", "Pm", "Nd", "Nd", "Nd", "Nd", "Nd", "Sn", "Sn"], "frac_coords": [[0.922, 0.845, 0.117], [0.035, 0.704, 0.767], [0.669, 0.704, 0.767], [0.184, 0.756, 0.341], [0.572, 0.756, 0.341], [0.449, 0.898, 0.691], [0.551, 0.102, 0.309], [0.816, 0.244, 0.659], [0.428, 0.244, 0.659], [0.965, 0.296, 0.233], [0.331, 0.296, 0.233], [0.078, 0.155, 0.883], [0.236, 0.471, 0.588], [0.319, 0.638, 0.998], [0.000, 0.000, 0.500], [0.681, 0.362, 0.002], [0.764, 0.529, 0.412], [0.695, 0.000, 0.000], [0.305, 0.000, 0.000]], "rho_g_cm3": 6.94, "final_energy_ev_per_fu": -90.7, "e_form_ev_per_atom": -0.099, "n_ef_per_ev_fu": 23.229}

***

No. 2
{"formula": "PmNd3Sn12", "functional": "GGA-PBE", "state": "optimized geometry", "cell": [[-0.893, 3.847, 2.712], [0.471, -2.673, 3.947], [18.483, 3.956, 0.475]], "species": ["Pm", "Nd", "Nd", "Nd", "Sn", "Sn", "Sn", "Sn", "Sn", "Sn", "Sn", "Sn", "Sn", "Sn", "Sn", "Sn"], "frac_coords": [[0.000, 0.000, 0.000], [0.000, 0.000, 0.249], [0.000, 0.000, 0.500], [0.000, 0.000, 0.751], [0.500, 0.500, 0.000], [0.500, 0.500, 0.249], [0.500, 0.500, 0.500], [0.500, 0.500, 0.751], [0.500, 0.000, 0.124], [0.500, 0.000, 0.375], [0.500, 0.000, 0.625], [0.500, 0.000, 0.876], [0.000, 0.500, 0.124], [0.000, 0.500, 0.375], [0.000, 0.500, 0.625], [0.000, 0.500, 0.876]], "rho_g_cm3": 7.66, "final_energy_ev_per_fu": -75.1, "e_form_ev_per_atom": -0.499, "n_ef_per_ev_fu": 9.439}